# Pm2Ho6Th3 (PBE, relaxed)
# - calculated volume (Å³ per cell) = 745.06
# - VASP energy (eV/atom) = -5.228
# - D(E_F) (states/eV/cell) = 29.62
# - energy of formation from the pure elements (eV/atom) = 0.1559
# - M_tot (μB per formula unit) = 0.00
# - mass density (g/cm3) = 8.81
data_Pm2Ho6Th3
_chemical_formula_sum 'Pm4 Ho12 Th6'
_cell_length_a 6.173
_cell_length_b 10.678
_cell_length_c 11.304
_cell_angle_alpha 90.00
_cell_angle_beta 90.12
_cell_angle_gamma 90.00
_space_group_name_H-M_alt 'C 1 2/m 1'
_space_group_IT_number 12
_space_group_name_Hall '-C 2y'
loop_
_atom_site_label
_atom_site_type_symbol
_atom_site_fract_x
_atom_site_fract_y
_atom_site_fract_z
_atom_site_occupancy
Pm1 Pm 0.000 0.167 0.000 1
Ho1 Ho 0.167 0.335 0.745 1
Ho2 Ho 0.171 0.000 0.746 1
Th1 Th 0.000 0.166 0.500 1
Th2 Th 0.000 0.500 0.500 1